A plane-wave DFT calculation with PBE was carried out for a geometry-optimized ZrSc2Rh structure.

a b c (Å): 5.763 5.763 4.871
angles (deg): 65.02 65.02 34.24
Element x y z (fractional)
Sc 0.248 0.248 0.252
Zr 0.463 0.463 0.537
Sc 0.038 0.038 0.963
Rh 0.751 0.751 0.749

* space group: Imm2
* E: -30.5 eV per cell
* D(E_F): 3.7 states/eV per cell
* energy of formation from the pure elements: -0.48 eV/atom
* energy above the lowest structure with this stoichiometry: 0.000 eV per atom